1.
The following is a DFT calculation (GGA-PBE) of Mn2SiIr after structural relaxation.

## Properties
The value obtained for the density of states at the Fermi level is 2.8 states/eV/cell.

```
data_Mn2SiIr
_cell_length_a 3.6519
_cell_length_b 3.6519
_cell_length_c 3.8366
_cell_angle_alpha 90.00
_cell_angle_beta 90.00
_cell_angle_gamma 90.00
_space_group_name_H-M_alt 'P 4/m m m'
_space_group_IT_number 123
_space_group_name_Hall '-P 4 2'
loop_
_atom_site_label
_atom_site_fract_x
_atom_site_fract_y
_atom_site_fract_z
Mn1 0.0000 0.5000 0.0000
Si1 0.0000 0.0000 0.5000
Ir1 0.5000 0.5000 0.5000
```

2.
The following is a DFT calculation (GGA-PBE) of MnSiIr2 after structural relaxation.

## Properties
The value obtained for the density of states at the Fermi level is 2.9 states/eV/cell.

```
data_MnSiIr2
_cell_length_a 2.7960
_cell_length_b 4.2812
_cell_length_c 4.6323
_cell_angle_alpha 90.00
_cell_angle_beta 90.00
_cell_angle_gamma 90.00
_space_group_name_H-M_alt 'P m m m'
_space_group_IT_number 47
loop_
_space_group_symop_operation_xyz
'x,y,z'
'-x,-y,-z'
'-x,-y,z'
'x,y,-z'
'x,-y,-z'
'-x,y,z'
'-x,y,-z'
'x,-y,z'
loop_
_atom_site_label
_atom_site_fract_x
_atom_site_fract_y
_atom_site_fract_z
Mn1 0.0000 0.0000 0.0000
Si1 0.5000 0.0000 0.5000
Ir1 0.0000 0.5000 0.5000
Ir2 0.5000 0.5000 0.0000
```

no.,formation energy from raw total energies (kJ/mol of atoms),spin magnetization (μB/f.u.),VASP energy (eV per atom)
1,-31.3,5.2,-8.480
2,-8.8,2.9,-8.170